## IrPdIN2 (PBE-GGA)

Data for an optimized crystal structure of IrPdIN2.

The space group is P4/mmm (No. 123) and the conventional cell measures 3.784, 3.784 and 8.403 Å, with angles of 90.00, 90.00 and 90.00 degrees. The asymmetric unit holds Ir at (0.000, 0.000, 0.000), Pd at (0.500, 0.500, 0.500), I at (0.500, 0.500, 0.000) and N at (0.000, 0.500, 0.500).

Its density of states at the Fermi level is 4.9 states/eV/cell. For the uncorrected formation energy, the calculation gives 1882 meV per atom. The energy above the most stable polymorph in this dataset comes out at 5.30 eV/f.u. Its spin magnetization is 1.24 μB per cell. The value obtained for the energy is -22.84 eV per formula unit.

=====

## Co2TePb (PBE-GGA)

Data for an optimized crystal structure of Co2TePb.

The space group is P2/m (No. 10) and the conventional cell measures 3.297, 3.229 and 7.018 Å, with angles of 90.00, 100.31 and 90.00 degrees. The asymmetric unit holds Co at (0.071, 0.000, 0.190), Te at (0.500, 0.500, 0.000) and Pb at (0.000, 0.500, 0.500).

Its density of states at the Fermi level is 5.1 states/eV/cell. For the uncorrected formation energy, the calculation gives 415 meV per atom. The energy above the most stable polymorph in this dataset comes out at 1.16 eV/f.u. Its spin magnetization is 0.80 μB per cell. The value obtained for the energy is -19.40 eV per formula unit.

=====

## NdErMg14 (PBE-GGA)

Data for an optimized crystal structure of NdErMg14.

The space group is P4/mmm (No. 123) and the conventional cell measures 6.941, 6.941 and 8.031 Å, with angles of 90.00, 90.00 and 90.00 degrees. The asymmetric unit holds Nd at (0.000, 0.000, 0.000), Er at (0.500, 0.500, 0.000), Mg at (0.000, 0.000, 0.500), Mg at (0.000, 0.500, 0.000), Mg at (0.000, 0.500, 0.500), Mg at (0.253, 0.253, 0.262) and Mg at (0.500, 0.500, 0.500).

Its density of states at the Fermi level is 6.6 states/eV/cell. Its spin magnetization is 0.00 μB per cell. The value obtained for the energy is -32.20 eV per formula unit.

=====

## Sm8SiTe3Se4 (PBE-GGA)

Data for an optimized crystal structure of Sm8SiTe3Se4.

The space group is R-3m (No. 166, hexagonal axes) and the conventional cell measures 8.6056, 8.6056 and 20.9233 Å, with angles of 90.00, 90.00 and 120.00 degrees. The asymmetric unit holds Sm at (0.0000, 0.0000, 0.2397), Sm at (0.0240, 0.5120, 0.7522), Si at (0.0000, 0.0000, 0.0000), Te at (0.0000, 0.5000, 0.0000), Se at (0.0000, 0.0000, 0.5000) and Se at (0.0000, 0.5000, 0.5000).

Its density of states at the Fermi level is 20.2 states/eV/cell. For the uncorrected formation energy, the calculation gives -1555 meV per atom. Its spin magnetization is 0.00 μB per cell. The value obtained for the energy is -91.43 eV per formula unit.